Record 1
Material: BiPb3Br
Method: DFT, GGA-PBE
State: optimized geometry

The energy above the most stable polymorph in this dataset comes out at 540 meV/atom. Its energy relative to the elements, uncorrected is 411 meV/atom. The volume comes out at 46.27 Å³/atom.

a b c (Å): 6.139 6.139 6.139
angles (deg): 90.00 90.00 90.00
Fractional positions:
1 Bi 0.000 0.000 0.000
2 Pb 0.000 0.000 0.500
3 Pb 0.000 0.500 0.000
4 Pb 0.500 0.000 0.000
5 Br 0.500 0.500 0.500


Record 2
Material: CdMo2P
Method: DFT, GGA-PBE
State: optimized geometry

The energy above the most stable polymorph in this dataset comes out at 576 meV/atom. The volume comes out at 17.95 Å³/atom. As for the formation energy: 0.574 eV per atom.

a b c (Å): 9.866 9.866 9.866
angles (deg): 157.25 157.25 32.40
Fractional positions:
1 Cd 0.000 0.000 0.000
2 Cd 0.750 0.250 0.500
3 Mo 0.185 0.625 0.060
4 Mo 0.375 0.435 0.560
5 Mo 0.565 0.125 0.940
6 Mo 0.875 0.815 0.440
7 P 0.250 0.750 0.500
8 P 0.500 0.500 0.000


Record 3
Material: Sr2La2Tc
Method: DFT, GGA-PBE
State: optimized geometry

The volume comes out at 36.80 Å³/atom. As for the formation energy: 0.269 eV per atom.

a b c (Å): 7.413 7.413 6.696
angles (deg): 90.00 90.00 90.00
Fractional positions:
1 Sr 0.186 0.314 0.000
2 Sr 0.314 0.814 0.000
3 Sr 0.686 0.186 0.000
4 Sr 0.814 0.686 0.000
5 La 0.181 0.681 0.500
6 La 0.319 0.181 0.500
7 La 0.681 0.819 0.500
8 La 0.819 0.319 0.500
9 Tc 0.000 0.000 0.500
10 Tc 0.500 0.500 0.500


Record 4
Material: CrP2Se2
Method: DFT, GGA-PBE
State: optimized geometry

Its energy relative to the elements, uncorrected is 1095 meV/atom. The volume comes out at 19.82 Å³/atom.

a b c (Å): 4.791 4.791 4.318
angles (deg): 90.00 90.00 90.00
Fractional positions:
1 Cr 0.000 0.000 0.000
2 P 0.500 0.500 0.000
3 P 0.500 0.500 0.500
4 Se 0.000 0.500 0.500
5 Se 0.500 0.000 0.500


Record 5
Material: PaCoCu4
Method: DFT, GGA-PBE
State: optimized geometry

The volume comes out at 14.17 Å³/atom. As for the formation energy: -0.025 eV per atom.

a b c (Å): 4.936 4.936 4.936
angles (deg): 60.00 60.00 60.00
Fractional positions:
1 Pa 0.000 0.000 0.000
2 Co 0.250 0.250 0.250
3 Cu 0.129 0.624 0.624
4 Cu 0.624 0.129 0.624
5 Cu 0.624 0.624 0.129
6 Cu 0.624 0.624 0.624


Record 6
Material: Al2RhBr
Method: DFT, GGA-PBE
State: optimized geometry

The energy above the most stable polymorph in this dataset comes out at 722 meV/atom. Its energy relative to the elements, uncorrected is 207 meV/atom. The volume comes out at 16.93 Å³/atom.

a b c (Å): 4.920 4.920 4.920
angles (deg): 130.27 130.27 72.98
Fractional positions:
1 Al 0.250 0.750 0.500
2 Al 0.750 0.250 0.500
3 Rh 0.000 0.000 0.000
4 Br 0.500 0.500 0.000


Record 7
Material: IrSe2Br
Method: DFT, GGA-PBE
State: optimized geometry

The energy above the most stable polymorph in this dataset comes out at 195 meV/atom. Its energy relative to the elements, uncorrected is -34 meV/atom. The volume comes out at 29.46 Å³/atom.

a b c (Å): 4.712 3.752 6.847
angles (deg): 90.00 103.21 90.00
Fractional positions:
1 Ir 0.000 0.000 0.000
2 Se 0.184 0.500 0.227
3 Se 0.561 0.000 0.125
4 Br 0.890 0.500 0.736


Record 8
Material: MoIrPd3
Method: DFT, GGA-PBE
State: optimized geometry

The energy above the most stable polymorph in this dataset comes out at 162 meV/atom. The volume comes out at 21.30 Å³/atom. As for the formation energy: 1.814 eV per atom.

a b c (Å): 4.740 4.740 4.740
angles (deg): 90.00 90.00 90.00
Fractional positions:
1 Mo 0.000 0.000 0.000
2 Ir 0.500 0.500 0.500
3 Pd 0.000 0.500 0.500
4 Pd 0.500 0.000 0.500
5 Pd 0.500 0.500 0.000


Copy entry 3 word for word.
Material: Sr2La2Tc
Method: DFT, GGA-PBE
State: optimized geometry

The volume comes out at 36.80 Å³/atom. As for the formation energy: 0.269 eV per atom.

a b c (Å): 7.413 7.413 6.696
angles (deg): 90.00 90.00 90.00
Fractional positions:
1 Sr 0.186 0.314 0.000
2 Sr 0.314 0.814 0.000
3 Sr 0.686 0.186 0.000
4 Sr 0.814 0.686 0.000
5 La 0.181 0.681 0.500
6 La 0.319 0.181 0.500
7 La 0.681 0.819 0.500
8 La 0.819 0.319 0.500
9 Tc 0.000 0.000 0.500
10 Tc 0.500 0.500 0.500